Density functional theory data (GGA-PBE) for a relaxed structure of NaSm2Co.

```
12
Lattice="3.891 0.000 0.000 -1.946 3.370 0.000 0.000 0.000 31.306" Properties=species:S:1:pos:R:3 pbc="T T T"
Na 0.000 0.000 0.000
Na 0.000 2.247 20.871
Na 1.946 1.123 10.435
Sm 0.000 0.000 3.748
Sm 0.000 0.000 27.558
Sm 0.000 2.247 17.123
Sm 0.000 2.247 24.619
Sm 1.946 1.123 6.688
Sm 1.946 1.123 14.183
Co 0.000 0.000 15.653
Co 0.000 2.247 5.218
Co 1.946 1.123 26.088
```

Total DFT energy (no corrections), eV per formula unit: -17.61
Calculated formation energy, kJ per mole of atoms: 6.01
Volume, A^3/atom: 34.2